# 1
# Mn4NiPd5, relaxed, DFT PBE
data_Mn4NiPd5
_symmetry_space_group_name_H-M 'C 1 2/m 1'
_symmetry_Int_Tables_number 12
_cell_length_a 14.045
_cell_length_b 4.076
_cell_length_c 5.400
_cell_angle_alpha 90.00
_cell_angle_beta 107.45
_cell_angle_gamma 90.00
loop_
_symmetry_equiv_pos_as_xyz
'x,y,z'
'-x,-y,-z'
'-x,y,-z'
'x,-y,z'
'x+1/2,y+1/2,z'
'-x+1/2,-y+1/2,-z'
'-x+1/2,y+1/2,-z'
'x+1/2,-y+1/2,z'
loop_
_atom_site_label
_atom_site_fract_x
_atom_site_fract_y
_atom_site_fract_z
Mn1 0.090 0.000 0.321
Mn2 0.194 0.500 0.115
Ni1 0.000 0.500 0.000
Pd1 0.000 0.500 0.500
Pd2 0.107 0.000 0.839
Pd3 0.206 0.500 0.619
# Electronic total energy: -7.016 eV/atom
# M_tot: 36.29 Bohr magnetons per cell


# 2
# K2Ir2N, relaxed, DFT PBE
data_K2Ir2N
_symmetry_space_group_name_H-M 'P 4/m b m'
_symmetry_Int_Tables_number 127
_symmetry_space_group_name_Hall '-P 4 2ab'
_cell_length_a 5.678
_cell_length_b 5.678
_cell_length_c 5.615
_cell_angle_alpha 90.00
_cell_angle_beta 90.00
_cell_angle_gamma 90.00
loop_
_atom_site_label
_atom_site_fract_x
_atom_site_fract_y
_atom_site_fract_z
K1 0.175 0.325 0.000
Ir1 0.189 0.689 0.500
N1 0.000 0.000 0.500
# Electronic total energy: -5.042 eV/atom
# Energy above the lowest structure with this stoichiometry: 0 meV per atom
# Raw formation energy: 0.61 eV/atom
# M_tot: 0.00 Bohr magnetons per cell


# 3
# BaLi2Tl2, relaxed, DFT PBE
data_BaLi2Tl2
_symmetry_space_group_name_H-M 'I 4/m m m'
_symmetry_Int_Tables_number 139
_symmetry_space_group_name_Hall '-I 4 2'
_cell_length_a 5.116
_cell_length_b 5.116
_cell_length_c 21.866
_cell_angle_alpha 90.00
_cell_angle_beta 90.00
_cell_angle_gamma 90.00
loop_
_atom_site_label
_atom_site_fract_x
_atom_site_fract_y
_atom_site_fract_z
Ba1 0.000 0.000 0.130
Li1 0.000 0.000 0.434
Li2 0.000 0.500 0.250
Tl1 0.000 0.000 0.305
Tl2 0.000 0.500 0.000
# Electronic total energy: -2.348 eV/atom
# Energy above the lowest structure with this stoichiometry: 27 meV per atom
# M_tot: 0.00 Bohr magnetons per cell


# 4
# Nd2Sm3Au2, relaxed, DFT PBE
data_Nd2Sm3Au2
_symmetry_space_group_name_H-M 'C 1 2/m 1'
_symmetry_Int_Tables_number 12
_cell_length_a 12.928
_cell_length_b 3.851
_cell_length_c 9.365
_cell_angle_alpha 90.00
_cell_angle_beta 115.99
_cell_angle_gamma 90.00
loop_
_symmetry_equiv_pos_as_xyz
'x,y,z'
'-x,-y,-z'
'-x,y,-z'
'x,-y,z'
'x+1/2,y+1/2,z'
'-x+1/2,-y+1/2,-z'
'-x+1/2,y+1/2,-z'
'x+1/2,-y+1/2,z'
loop_
_atom_site_label
_atom_site_fract_x
_atom_site_fract_y
_atom_site_fract_z
Nd1 0.153 0.000 0.313
Sm1 0.000 0.500 0.500
Sm2 0.114 0.500 0.946
Au1 0.166 0.000 0.731
# Electronic total energy: -4.790 eV/atom
# M_tot: 0.00 Bohr magnetons per cell


# 5
# SiOs2S, relaxed, DFT PBE
data_SiOs2S
_symmetry_space_group_name_H-M 'F m -3 m'
_symmetry_Int_Tables_number 225
_symmetry_space_group_name_Hall '-F 4 2 3'
_cell_length_a 5.980
_cell_length_b 5.980
_cell_length_c 5.980
_cell_angle_alpha 90.00
_cell_angle_beta 90.00
_cell_angle_gamma 90.00
loop_
_atom_site_label
_atom_site_fract_x
_atom_site_fract_y
_atom_site_fract_z
Si1 0.000 0.000 0.000
Os1 0.250 0.250 0.250
S1 0.000 0.000 0.500
# Electronic total energy: -7.689 eV/atom
# Energy above the lowest structure with this stoichiometry: 0 meV per atom
# Raw formation energy: 0.31 eV/atom
# M_tot: 0.00 Bohr magnetons per cell


# 6
# CaInAu2, relaxed, DFT PBE
data_CaInAu2
_symmetry_space_group_name_H-M 'R 3 m'
_symmetry_Int_Tables_number 160
_symmetry_space_group_name_Hall 'R 3 -2"'
_cell_length_a 4.2131
_cell_length_b 4.2131
_cell_length_c 20.4775
_cell_angle_alpha 90.00
_cell_angle_beta 90.00
_cell_angle_gamma 120.00
loop_
_atom_site_label
_atom_site_fract_x
_atom_site_fract_y
_atom_site_fract_z
Ca1 0.0000 0.0000 0.0000
In1 0.0000 0.0000 0.8289
Au1 0.0000 0.0000 0.4224
Au2 0.0000 0.0000 0.5743
# Electronic total energy: -3.252 eV/atom
# M_tot: 0.00 Bohr magnetons per cell


# 7
# TiSiS2, relaxed, DFT PBE
data_TiSiS2
_symmetry_space_group_name_H-M 'R -3 m'
_symmetry_Int_Tables_number 166
_symmetry_space_group_name_Hall '-R 3 2"'
_cell_length_a 3.2885
_cell_length_b 3.2885
_cell_length_c 23.7691
_cell_angle_alpha 90.00
_cell_angle_beta 90.00
_cell_angle_gamma 120.00
loop_
_atom_site_label
_atom_site_fract_x
_atom_site_fract_y
_atom_site_fract_z
Ti1 0.0000 0.0000 0.0000
Si1 0.0000 0.0000 0.5000
S1 0.0000 0.0000 0.3961
# Electronic total energy: -6.058 eV/atom
# Raw formation energy: -0.67 eV/atom
# M_tot: 0.00 Bohr magnetons per cell


# 8
# HgSbPb, relaxed, DFT PBE
data_HgSbPb
_symmetry_space_group_name_H-M 'F m m 2'
_symmetry_Int_Tables_number 42
_symmetry_space_group_name_Hall 'F 2 -2'
_cell_length_a 4.108
_cell_length_b 5.352
_cell_length_c 15.587
_cell_angle_alpha 90.00
_cell_angle_beta 90.00
_cell_angle_gamma 90.00
loop_
_atom_site_label
_atom_site_fract_x
_atom_site_fract_y
_atom_site_fract_z
Hg1 0.000 0.000 0.000
Sb1 0.000 0.000 0.662
Pb1 0.000 0.000 0.333
# Electronic total energy: -2.606 eV/atom
# Energy above the lowest structure with this stoichiometry: 24 meV per atom
# Raw formation energy: 0.10 eV/atom
# M_tot: 0.00 Bohr magnetons per cell